## CoPb2W (GGA-PBE)

Data for CoPb2W after structural relaxation.

Cell and atoms, written as POSCAR:
```
CoPb2W
1.0
3.407 0.000 0.000
0.000 3.407 0.000
0.000 0.000 6.549
Co Pb W
1 2 1
Direct
0.000 0.000 0.000 Co
0.500 0.500 0.241 Pb
0.500 0.500 0.759 Pb
0.000 0.000 0.500 W
```

The density of states at the Fermi level comes out at 5.538 states/eV/f.u. As for the energy relative to the elements: 4.0 eV per formula unit. Its space group is P4/mmm (123).